Entry from Alexandria via LeMat-Bulk: a geometry-optimized Na2GeAu2 structure (GGA-PBE).

Calculated values
Polymorph energy (0 for the lowest one): 0.0 meV/atom
SG: C2/c (15)
Formation energy from the elements: -1.49 eV/f.u.

a = 5.8248 Å, b = 5.8248 Å, c = 7.8633 Å
α = 99.78°, β = 99.78°, γ = 59.85°
Fractional coordinates of all 10 atoms:
Na (0.0270, 0.2752, 0.1537)
Na (0.2752, 0.0270, 0.6537)
Na (0.7248, 0.9730, 0.3463)
Na (0.9730, 0.7248, 0.8463)
Ge (0.3650, 0.6350, 0.2500)
Ge (0.6350, 0.3650, 0.7500)
Au (0.2375, 0.5031, 0.5108)
Au (0.4969, 0.7625, 0.9892)
Au (0.5031, 0.2375, 0.0108)
Au (0.7625, 0.4969, 0.4892)